Record 1
CaPmW2O8 | PBE+U | optimized geometry

Properties
Total DFT energy (no corrections): -7.611 eV/atom
Total moment: 1.00 μB per formula unit

a b c (Å): 5.3499 5.3499 6.8659
angles (deg): 112.93 112.93 90.00
Closest atoms and distances in Å follow each position.
Atoms (fractional coordinates):
O  0.9941  0.4113  0.3342  1 W 1.91
W  0.2500  0.7500  0.5000  4 O 1.91
O  0.3401  0.9229  0.3342  1 W 1.91
O  0.6524  0.2497  0.8292  1 W 1.83
O  0.1768  0.5795  0.8292  1 W 1.83
O  0.7503  0.8232  0.1708  1 W 1.83
W  0.5000  0.5000  0.0000  4 O 1.83
Pm  0.7500  0.2500  0.5000  8 O 2.38-2.51
Ca  0.0000  0.0000  0.0000  8 O 2.48-2.50
O  0.0771  0.0059  0.6658  1 W 1.91
O  0.5887  0.6599  0.6658  1 W 1.91
O  0.4205  0.3476  0.1708  1 W 1.83

Record 2
CaPm2WO8 | PBE+U | optimized geometry

Properties
Total DFT energy (no corrections): -7.405 eV/atom
Total moment: 0.00 μB per formula unit

a b c (Å): 5.4322 4.3008 6.9015
angles (deg): 74.96 91.78 89.58
Closest atoms and distances in Å follow each position.
Atoms (fractional coordinates):
O  0.7044  0.8071  0.9123  1 W 1.96
Pm  0.4890  0.6239  0.2093  7 O 2.35-2.58
Ca  0.0000  0.0000  0.5000  6 O 2.45-2.68
W  0.0000  0.0000  0.0000  6 O 1.93-1.99
O  0.4530  0.1638  0.4979  1 O 1.49
Pm  0.5110  0.3761  0.7907  7 O 2.35-2.58
O  0.9496  0.3263  0.7386  1 W 1.99
O  0.0504  0.6737  0.2614  1 W 1.99
O  0.5470  0.8362  0.5021  1 O 1.49
O  0.7739  0.2060  0.1387  1 W 1.93
O  0.2261  0.7940  0.8613  1 W 1.93
O  0.2956  0.1929  0.0877  1 W 1.96

Question: Look up the total DFT energy (no corrections) of the first one.
Answer: -7.611 eV/atom